No. 1
DFT (PBE) results for a relaxed Mo2H2W crystal.

a b c (Å): 5.9835 5.9835 3.0878
angles (deg): 90.00 90.00 90.00
Atoms (fractional coordinates):
H: 0.2934 0.7934 0.0000
H: 0.7934 0.7066 0.0000
H: 0.7066 0.2066 0.0000
H: 0.2066 0.2934 0.0000
Mo: 0.1543 0.6543 0.5000
Mo: 0.6543 0.8457 0.5000
Mo: 0.8457 0.3457 0.5000
Mo: 0.3457 0.1543 0.5000
W: 0.0000 0.0000 0.0000
W: 0.5000 0.5000 0.0000

## Properties
space-group type: P4/mbm
energy above the most stable polymorph in this dataset: 240 meV per atom

***

No. 2
DFT (PBE) results for a relaxed MoHW3 crystal.

a b c (Å): 4.0669 4.0669 4.0669
angles (deg): 90.00 90.00 90.00
Atoms (fractional coordinates):
H: 0.0000 0.0000 0.0000
Mo: 0.5000 0.5000 0.5000
W: 0.0000 0.5000 0.0000
W: 0.0000 0.0000 0.5000
W: 0.5000 0.0000 0.0000

## Properties
space-group type: Pm-3m
energy above the most stable polymorph in this dataset: 0 meV per atom

***

No. 3
DFT (PBE) results for a relaxed Y2MoH crystal.

a b c (Å): 6.7776 6.7776 5.9331
angles (deg): 55.17 55.17 90.00
Atoms (fractional coordinates):
Y: 0.5344 0.1250 0.2500
Y: 0.2156 0.6250 0.2500
Y: 0.3750 0.4656 0.7500
Y: 0.8750 0.7844 0.7500
H: 0.5000 0.5000 0.0000
H: 0.2500 0.7500 0.5000
Mo: 0.0000 0.0000 0.0000
Mo: 0.7500 0.2500 0.5000

## Properties
space-group type: I-42d
energy above the most stable polymorph in this dataset: 0 meV per atom

***

No. 4
DFT (PBE) results for a relaxed YMo2H7 crystal.

a b c (Å): 3.4731 5.4887 5.2530
angles (deg): 121.50 90.00 90.00
Atoms (fractional coordinates):
Y: 0.0000 0.0000 0.0000
Mo: 0.5000 0.2987 0.5974
Mo: 0.5000 0.7013 0.4026
H: 0.0000 0.3687 0.7375
H: 0.0000 0.6313 0.2625
H: 0.5000 0.3060 0.2563
H: 0.5000 0.6940 0.7437
H: 0.5000 0.0496 0.7437
H: 0.5000 0.9504 0.2563
H: 0.5000 0.5000 0.0000

## Properties
space-group type: Cmmm

***

No. 5
DFT (PBE) results for a relaxed Y2MoH crystal.

a b c (Å): 4.8497 4.8497 4.8497
angles (deg): 60.00 60.00 60.00
Atoms (fractional coordinates):
Y: 0.2500 0.2500 0.2500
Y: 0.7500 0.7500 0.7500
H: 0.0000 0.0000 0.0000
Mo: 0.5000 0.5000 0.5000

## Properties
space-group type: Fm-3m
energy above the most stable polymorph in this dataset: 335 meV per atom

***

No. 6
DFT (PBE) results for a relaxed YMoH2 crystal.

a b c (Å): 5.1554 5.1554 5.1291
angles (deg): 59.83 59.83 90.00
Atoms (fractional coordinates):
Y: 0.5000 0.5000 0.0000
Y: 0.2500 0.7500 0.5000
H: 0.6814 0.1250 0.2500
H: 0.0686 0.6250 0.2500
H: 0.3750 0.3186 0.7500
H: 0.8750 0.9314 0.7500
Mo: 0.0000 0.0000 0.0000
Mo: 0.7500 0.2500 0.5000

## Properties
space-group type: I-42d
energy above the most stable polymorph in this dataset: 0 meV per atom

***

No. 7
DFT (PBE) results for a relaxed YMo3H crystal.

a b c (Å): 4.2427 4.2427 4.2427
angles (deg): 90.00 90.00 90.00
Atoms (fractional coordinates):
Y: 0.5000 0.5000 0.5000
H: 0.0000 0.0000 0.0000
Mo: 0.0000 0.5000 0.0000
Mo: 0.0000 0.0000 0.5000
Mo: 0.5000 0.0000 0.0000

## Properties
space-group type: Pm-3m
energy above the most stable polymorph in this dataset: 0 meV per atom

***

No. 8
DFT (PBE) results for a relaxed Y2MoH6 crystal.

a b c (Å): 5.0626 5.0626 5.0626
angles (deg): 60.00 60.00 60.00
Atoms (fractional coordinates):
Y: 0.2500 0.2500 0.2500
Y: 0.7500 0.7500 0.7500
Mo: 0.0000 0.0000 0.0000
H: 0.2572 0.7428 0.7428
H: 0.2572 0.7428 0.2572
H: 0.7428 0.2572 0.7428
H: 0.7428 0.2572 0.2572
H: 0.7428 0.7428 0.2572
H: 0.2572 0.2572 0.7428

## Properties
space-group type: Fm-3m

***

No. 9
DFT (PBE) results for a relaxed YMoH crystal.

a b c (Å): 6.0177 6.0177 6.5704
angles (deg): 123.79 123.79 31.20
Atoms (fractional coordinates):
Y: 0.7385 0.7385 0.7356
Y: 0.2615 0.2615 0.2644
H: 0.0967 0.0967 0.8320
H: 0.9033 0.9033 0.1680
Mo: 0.5012 0.5012 0.8301
Mo: 0.4988 0.4988 0.1699

## Properties
space-group type: C2/m

***

No. 10
DFT (PBE) results for a relaxed YMo2H crystal.

a b c (Å): 5.7303 5.7303 5.7244
angles (deg): 59.97 59.97 90.00
Atoms (fractional coordinates):
Y: 0.0000 0.0000 0.0000
Y: 0.7500 0.2500 0.5000
H: 0.5000 0.5000 0.0000
H: 0.2500 0.7500 0.5000
Mo: 0.3750 0.1250 0.2500
Mo: 0.3750 0.6250 0.2500
Mo: 0.3750 0.6250 0.7500
Mo: 0.8750 0.6250 0.7500

## Properties
space-group type: I4_1/amd
energy above the most stable polymorph in this dataset: 0 meV per atom

***

No. 11
DFT (PBE) results for a relaxed YMoH3 crystal.

a b c (Å): 3.6884 3.6884 3.6884
angles (deg): 90.00 90.00 90.00
Atoms (fractional coordinates):
Y: 0.5000 0.5000 0.5000
H: 0.0000 0.5000 0.0000
H: 0.0000 0.0000 0.5000
H: 0.5000 0.0000 0.0000
Mo: 0.0000 0.0000 0.0000

## Properties
space-group type: Pm-3m
energy above the most stable polymorph in this dataset: 0 meV per atom

***

No. 12
DFT (PBE) results for a relaxed YMo2H crystal.

a b c (Å): 4.5134 4.5134 4.5134
angles (deg): 60.00 60.00 60.00
Atoms (fractional coordinates):
Y: 0.5000 0.5000 0.5000
H: 0.0000 0.0000 0.0000
Mo: 0.2500 0.2500 0.2500
Mo: 0.7500 0.7500 0.7500

## Properties
space-group type: Fm-3m
energy above the most stable polymorph in this dataset: 1399 meV per atom

***

What did we get for total DFT energy (no corrections)? Answer: -7.896; -10.263; -6.472; -5.211; -6.137; -6.069; -7.940; -5.398; -6.776; -7.722; -5.781; -6.323 eV per atom, in the order shown.